1.
Compound: CoSi2Ru
Source: Alexandria
Functional: GGA-PBE
Structure: relaxed

E_tot (eV per atom): -7.1036
Crystal system: tetragonal
Formation energy from raw total energies (eV/atom): -0.297

The structure in POSCAR format:
```
CoSi2Ru
1.0
-1.731 1.731 4.027
1.731 -1.731 4.027
1.731 1.731 -4.027
Co Si Ru
1 2 1
Direct
0.000 0.000 0.000 Co
0.500 0.500 0.000 Si
0.750 0.250 0.500 Si
0.250 0.750 0.500 Ru
```

2.
Compound: Sc2TcNiS
Source: Alexandria
Functional: GGA-PBE
Structure: relaxed

E_tot (eV per atom): -6.3687
Crystal system: tetragonal
Formation energy from raw total energies (eV/atom): 0.219

The structure in POSCAR format:
```
Sc2TcNiS
1.0
4.875 0.000 0.000
0.000 4.875 0.000
0.000 0.000 4.311
Sc Tc Ni S
2 1 1 1
Direct
0.000 0.500 0.000 Sc
0.500 0.000 0.000 Sc
0.000 0.000 0.500 Tc
0.000 0.000 0.000 Ni
0.500 0.500 0.500 S
```

Among the records above, which one has the highest E_tot?
Sc2TcNiS